Record 1
The following is a DFT calculation (GGA-PBE) of a geometry-optimized MgTc structure.

Cell and atoms, written as CIF:
```
data_MgTc
_cell_length_a 2.7999
_cell_length_b 4.4876
_cell_length_c 5.1585
_cell_angle_alpha 90.00
_cell_angle_beta 90.00
_cell_angle_gamma 90.00
_space_group_name_H-M_alt 'P m m n'
_space_group_IT_number 59
loop_
_space_group_symop_operation_xyz
'x,y,z'
'-x,-y,-z'
'-x+1/2,-y+1/2,z'
'x+1/2,y+1/2,-z'
'x+1/2,-y,-z'
'-x+1/2,y,z'
'-x,y+1/2,-z'
'x,-y+1/2,z'
loop_
_atom_site_label
_atom_site_fract_x
_atom_site_fract_y
_atom_site_fract_z
Mg1 0.2500 0.2500 0.0936
Tc1 0.2500 0.7500 0.4206
```

Results
total magnetization = 0.0 μB/f.u.
ΔH_f (0 K) = 279 meV/atom
E_tot = -22.81 eV for the cell shown


Record 2
The following is a DFT calculation (GGA-PBE) of a geometry-optimized DyEr2Pt2 structure.

Cell and atoms, written as CIF:
```
data_DyEr2Pt2
_cell_length_a 7.6957
_cell_length_b 7.6957
_cell_length_c 3.9440
_cell_angle_alpha 90.00
_cell_angle_beta 90.00
_cell_angle_gamma 90.00
_space_group_name_H-M_alt 'P 4/m b m'
_space_group_IT_number 127
_space_group_name_Hall '-P 4 2ab'
loop_
_atom_site_label
_atom_site_fract_x
_atom_site_fract_y
_atom_site_fract_z
Dy1 0.0000 0.0000 0.0000
Er1 0.1600 0.3400 0.5000
Pt1 0.1396 0.6396 0.0000
```

Results
total magnetization = 0.0 μB/f.u.
ΔH_f (0 K) = -1092 meV/atom
E_tot = -62.54 eV for the cell shown


Record 3
The following is a DFT calculation (GGA-PBE) of a geometry-optimized CaCoP structure.

Cell and atoms, written as CIF:
```
data_CaCoP
_cell_length_a 3.8331
_cell_length_b 3.8331
_cell_length_c 14.0326
_cell_angle_alpha 90.00
_cell_angle_beta 90.00
_cell_angle_gamma 90.00
_space_group_name_H-M_alt 'I 4/m m m'
_space_group_IT_number 139
_space_group_name_Hall '-I 4 2'
loop_
_atom_site_label
_atom_site_fract_x
_atom_site_fract_y
_atom_site_fract_z
Ca1 0.0000 0.0000 0.1585
Co1 0.0000 0.5000 0.0000
P1 0.0000 0.0000 0.4056
```

Results
total magnetization = 0.3 μB/f.u.
ΔH_f (0 K) = -737 meV/atom
E_tot = -66.92 eV for the cell shown


Record 4
The following is a DFT calculation (GGA-PBE) of a geometry-optimized BaInSb2I structure.

Cell and atoms, written as CIF:
```
data_BaInSb2I
_cell_length_a 6.5221
_cell_length_b 6.5221
_cell_length_c 6.6278
_cell_angle_alpha 90.00
_cell_angle_beta 90.00
_cell_angle_gamma 90.00
_space_group_name_H-M_alt 'P 4/m m m'
_space_group_IT_number 123
_space_group_name_Hall '-P 4 2'
loop_
_atom_site_label
_atom_site_fract_x
_atom_site_fract_y
_atom_site_fract_z
Ba1 0.0000 0.0000 0.0000
In1 0.5000 0.5000 0.5000
Sb1 0.0000 0.5000 0.0000
I1 0.0000 0.0000 0.5000
```

Results
formation energy from raw total energies = 291 meV/atom
total magnetization = 1.9 μB/f.u.
E_tot = -13.00 eV for the cell shown


Record 5
The following is a DFT calculation (GGA-PBE) of a geometry-optimized Tb2LuIn structure.

Cell and atoms, written as CIF:
```
data_Tb2LuIn
_cell_length_a 3.5484
_cell_length_b 3.5484
_cell_length_c 9.2833
_cell_angle_alpha 90.00
_cell_angle_beta 90.00
_cell_angle_gamma 90.00
_space_group_name_H-M_alt 'P 4/m m m'
_space_group_IT_number 123
_space_group_name_Hall '-P 4 2'
loop_
_atom_site_label
_atom_site_fract_x
_atom_site_fract_y
_atom_site_fract_z
Tb1 0.0000 0.0000 0.2313
Lu1 0.5000 0.5000 0.5000
In1 0.5000 0.5000 0.0000
```

Results
total magnetization = 0.0 μB/f.u.
ΔH_f (0 K) = -219 meV/atom
E_tot = -17.40 eV for the cell shown


Record 6
The following is a DFT calculation (GGA-PBE) of a geometry-optimized Ti4VS5 structure.

Cell and atoms, written as CIF:
```
data_Ti4VS5
_cell_length_a 7.7190
_cell_length_b 7.7190
_cell_length_c 5.0821
_cell_angle_alpha 90.00
_cell_angle_beta 90.00
_cell_angle_gamma 90.00
_space_group_name_H-M_alt 'I 4'
_space_group_IT_number 79
_space_group_name_Hall 'I 4'
loop_
_atom_site_label
_atom_site_fract_x
_atom_site_fract_y
_atom_site_fract_z
Ti1 0.0990 0.7287 0.0000
V1 0.0000 0.0000 0.6515
S1 0.0000 0.0000 0.1608
S2 0.0880 0.6992 0.5163
```

Results
formation energy from raw total energies = -1112 meV/atom
total magnetization = 0.6 μB/f.u.
E_tot = -144.91 eV for the cell shown


Record 7
The following is a DFT calculation (GGA-PBE) of a geometry-optimized NaSrMn2I8 structure.

Cell and atoms, written as CIF:
```
data_NaSrMn2I8
_cell_length_a 8.5238
_cell_length_b 8.5238
_cell_length_c 8.9976
_cell_angle_alpha 90.00
_cell_angle_beta 90.00
_cell_angle_gamma 120.00
_space_group_name_H-M_alt 'P -3 m 1'
_space_group_IT_number 164
_space_group_name_Hall '-P 3 2"'
loop_
_atom_site_label
_atom_site_fract_x
_atom_site_fract_y
_atom_site_fract_z
Na1 0.0000 0.0000 0.0000
Sr1 0.0000 0.0000 0.5000
Mn1 0.3333 0.6667 0.3598
I1 0.1646 0.3292 0.2456
I2 0.3333 0.6667 0.6450
```

Results
formation energy from raw total energies = -769 meV/atom
total magnetization = 9.0 μB/f.u.
E_tot = -42.97 eV for the cell shown


Record 8
The following is a DFT calculation (GGA-PBE) of a geometry-optimized Tl2Ir2Se structure.

Cell and atoms, written as CIF:
```
data_Tl2Ir2Se
_cell_length_a 5.6815
_cell_length_b 5.6815
_cell_length_c 7.1950
_cell_angle_alpha 90.00
_cell_angle_beta 90.00
_cell_angle_gamma 90.00
_space_group_name_H-M_alt 'I 4/m m m'
_space_group_IT_number 139
_space_group_name_Hall '-I 4 2'
loop_
_atom_site_label
_atom_site_fract_x
_atom_site_fract_y
_atom_site_fract_z
Tl1 0.0000 0.5000 0.2500
Ir1 0.0000 0.0000 0.1679
Se1 0.0000 0.0000 0.5000
```

Results
formation energy from raw total energies = 525 meV/atom
total magnetization = 0.0 μB/f.u.
E_tot = -46.63 eV for the cell shown


Record 9
The following is a DFT calculation (GGA-PBE) of a geometry-optimized Li2TlSb structure.

Cell and atoms, written as CIF:
```
data_Li2TlSb
_cell_length_a 3.9802
_cell_length_b 3.9802
_cell_length_c 5.7120
_cell_angle_alpha 90.00
_cell_angle_beta 90.00
_cell_angle_gamma 90.00
_space_group_name_H-M_alt 'P 4 m m'
_space_group_IT_number 99
_space_group_name_Hall 'P 4 -2'
loop_
_atom_site_label
_atom_site_fract_x
_atom_site_fract_y
_atom_site_fract_z
Li1 0.0000 0.0000 0.0000
Li2 0.5000 0.5000 0.2866
Tl1 0.5000 0.5000 0.7854
Sb1 0.0000 0.0000 0.4950
```

Results
formation energy from raw total energies = -260 meV/atom
total magnetization = 0.0 μB/f.u.
E_tot = -11.36 eV for the cell shown


Record 10
The following is a DFT calculation (GGA-PBE) of a geometry-optimized Ti3HCSe structure.

Cell and atoms, written as CIF:
```
data_Ti3HCSe
_cell_length_a 6.8391
_cell_length_b 3.2130
_cell_length_c 7.1865
_cell_angle_alpha 90.00
_cell_angle_beta 106.99
_cell_angle_gamma 90.00
_space_group_name_H-M_alt 'P 1 21/m 1'
_space_group_IT_number 11
_space_group_name_Hall '-P 2yb'
loop_
_atom_site_label
_atom_site_fract_x
_atom_site_fract_y
_atom_site_fract_z
Ti1 0.0322 0.2500 0.3489
Ti2 0.2792 0.2500 0.9606
Ti3 0.3759 0.7500 0.6332
H1 0.4263 0.7500 0.9093
C1 0.1745 0.2500 0.6523
Se1 0.2921 0.7500 0.2505
```

Results
total magnetization = 0.0 μB/f.u.
E_tot = -88.85 eV for the cell shown


Record 11
The following is a DFT calculation (GGA-PBE) of a geometry-optimized MoC2 structure.

Cell and atoms, written as CIF:
```
data_MoC2
_cell_length_a 7.5631
_cell_length_b 2.7595
_cell_length_c 6.0472
_cell_angle_alpha 90.00
_cell_angle_beta 103.64
_cell_angle_gamma 90.00
_space_group_name_H-M_alt 'C 1 m 1'
_space_group_IT_number 8
_space_group_name_Hall 'C -2y'
loop_
_atom_site_label
_atom_site_fract_x
_atom_site_fract_y
_atom_site_fract_z
Mo1 0.0000 0.0000 0.0000
Mo2 0.2139 0.0000 0.6604
C1 0.0034 0.5000 0.7398
C2 0.2308 0.5000 0.4132
C3 0.2545 0.5000 0.1888
C4 0.2851 0.0000 0.0668
```

Results
total magnetization = 0.0 μB/f.u.
ΔH_f (0 K) = 614 meV/atom
E_tot = -109.75 eV for the cell shown


Record 12
The following is a DFT calculation (GGA-PBE) of a geometry-optimized Y2AuO structure.

Cell and atoms, written as CIF:
```
data_Y2AuO
_cell_length_a 6.6152
_cell_length_b 6.6152
_cell_length_c 8.1639
_cell_angle_alpha 90.00
_cell_angle_beta 90.00
_cell_angle_gamma 90.00
_space_group_name_H-M_alt 'I -4 2 d'
_space_group_IT_number 122
_space_group_name_Hall 'I -4 2bw'
loop_
_atom_site_label
_atom_site_fract_x
_atom_site_fract_y
_atom_site_fract_z
Y1 0.1706 0.7500 0.1250
Au1 0.0000 0.0000 0.5000
O1 0.0000 0.0000 0.0000
```

Results
formation energy from raw total energies = -1720 meV/atom
total magnetization = 0.0 μB/f.u.
E_tot = -112.17 eV for the cell shown